1.
Here is a relaxed structure of NdTlCd from Alexandria. Energies are from PBEsol.

Calculated values
SG: P6_3/mmc
Energy relative to the elements (eV/f.u.): -1.162

abc: 4.9295 4.9295 7.3072
angles: 90.00 90.00 120.00
Fractional coordinates of all 6 atoms:
Tl: 0.3333 0.6667 0.7500
Tl: 0.6667 0.3333 0.2500
Nd: 0.0000 0.0000 0.0000
Nd: 0.0000 0.0000 0.5000
Cd: 0.3333 0.6667 0.2500
Cd: 0.6667 0.3333 0.7500

***

2.
Here is a relaxed structure of KBa from Alexandria. Energies are from PBEsol.

Calculated values
SG: P4/mmm
Energy relative to the elements (eV/f.u.): 0.255

abc: 4.2655 4.2655 7.0077
angles: 90.00 90.00 90.00
Fractional coordinates of all 2 atoms:
K: 0.5000 0.5000 0.5000
Ba: 0.0000 0.0000 0.0000

***

3.
Here is a relaxed structure of CdIn2Sb from Alexandria. Energies are from PBEsol.

Calculated values
E_form (uncorrected) (eV/f.u.): 0.24
SG: P2/m

abc: 3.1559 4.9334 6.4925
angles: 90.00 96.97 90.00
Fractional coordinates of all 4 atoms:
Sb: 0.5000 0.5000 0.0000
Cd: 0.5000 0.5000 0.5000
In: 0.1040 0.0000 0.7412
In: 0.8960 0.0000 0.2588

***

4.
Here is a relaxed structure of Li2TeF from Alexandria. Energies are from PBEsol.

Calculated values
E_form (uncorrected) (eV/f.u.): -6.67
SG: I-42d

abc: 5.7114 5.7114 5.7114
angles: 86.27 62.13 117.87
Fractional coordinates of all 8 atoms:
Te: 0.0000 0.0000 0.0000
Te: 0.5000 0.2500 0.2500
Li: 0.1560 0.5310 0.1250
Li: 0.8440 0.7190 0.6250
Li: 0.3440 0.6250 0.5310
Li: 0.6560 0.1250 0.7190
F: 0.0000 0.5000 0.5000
F: 0.5000 0.7500 0.7500

***

5.
Here is a relaxed structure of LaSiRu from Alexandria. Energies are from PBEsol.

Calculated values
E_form (uncorrected) (eV/f.u.): -1.71
SG: P-6m2

abc: 4.1079 4.1079 4.3077
angles: 90.00 90.00 120.00
Fractional coordinates of all 3 atoms:
La: 0.0000 0.0000 0.0004
Ru: 0.3333 0.6667 0.4995
Si: 0.6667 0.3333 0.5001

***

6.
Here is a relaxed structure of LiIn from Alexandria. Energies are from PBEsol.

Calculated values
SG: Cmcm
Energy relative to the elements (eV/f.u.): -0.541

abc: 3.0698 4.6612 5.8384
angles: 90.00 105.24 90.00
Fractional coordinates of all 4 atoms:
In: 0.5795 0.7500 0.1590
In: 0.4205 0.2500 0.8410
Li: 0.8349 0.7500 0.6698
Li: 0.1651 0.2500 0.3302